Computed, not measured: an optimized crystal structure of Ba5GeN4F2 at the PBE level of DFT.

Cell: 7.858 10.288 6.473 Å, 90.00 90.00 90.00°
Space group Amm2 (No. 38)
One atom of each set of equivalent atoms:
Ba 0.000 0.000 0.000
Ba 0.282 0.182 0.488
Ge 0.500 0.000 0.011
N 0.298 0.000 0.189
N 0.500 0.151 0.830
F 0.000 0.215 0.759

***

Computed, not measured: an optimized crystal structure of BaGeN2F at the PBE level of DFT.

Cell: 3.879 3.879 4.738 Å, 90.00 90.00 90.00°
Space group P4/mmm (No. 123)
One atom of each set of equivalent atoms:
Ba 0.000 0.000 0.000
Ge 0.500 0.500 0.500
N 0.000 0.500 0.500
F 0.500 0.500 0.000

## Properties
Energy relative to the lowest polymorph listed for this composition ... 0.000 eV per atom

***

Computed, not measured: an optimized crystal structure of BaGeN2F at the PBE level of DFT.

Cell: 4.734 4.734 4.823 Å, 90.00 90.00 90.00°
Space group P4/mmm (No. 123)
One atom of each set of equivalent atoms:
Ba 0.000 0.000 0.000
Ge 0.500 0.500 0.500
N 0.000 0.500 0.000
F 0.000 0.000 0.500

## Properties
Energy relative to the lowest polymorph listed for this composition ... 1.625 eV per atom

***

Computed, not measured: an optimized crystal structure of Ba2NaGeF at the PBE level of DFT.

Cell: 5.537 5.537 4.752 Å, 90.00 90.00 90.00°
Space group P4/mmm (No. 123)
One atom of each set of equivalent atoms:
Ba 0.000 0.500 0.000
Na 0.000 0.000 0.500
Ge 0.500 0.500 0.500
F 0.000 0.000 0.000

***

Computed, not measured: an optimized crystal structure of BaNa2GeF8 at the PBE level of DFT.

Cell: 4.598 5.449 7.522 Å, 90.09 90.06 90.43°
Space group P-1 (No. 2)
One atom of each set of equivalent atoms:
Ba 0.000 0.000 0.000
Na 0.500 0.500 0.256
Ge 0.000 0.000 0.500
F 0.162 0.811 0.322
F 0.163 0.811 0.677
F 0.302 0.218 0.500
F 0.469 0.260 0.000

***

Computed, not measured: an optimized crystal structure of BaNa2GeF at the PBE level of DFT.

Cell: 4.833 4.833 5.477 Å, 90.00 90.00 90.00°
Space group P4/mmm (No. 123)
One atom of each set of equivalent atoms:
Ba 0.000 0.000 0.000
Na 0.000 0.500 0.500
Ge 0.500 0.500 0.000
F 0.000 0.000 0.500

***

Computed, not measured: an optimized crystal structure of BaGeO2F at the PBE level of DFT.

Cell: 4.875 4.875 4.823 Å, 90.00 90.00 90.00°
Space group P4/mmm (No. 123)
One atom of each set of equivalent atoms:
Ba 0.000 0.000 0.000
Ge 0.500 0.500 0.500
O 0.000 0.500 0.000
F 0.000 0.000 0.500

***

Computed, not measured: an optimized crystal structure of BaGeO2F at the PBE level of DFT.

Cell: 4.109 4.109 4.380 Å, 90.00 90.00 90.00°
Space group P4/mmm (No. 123)
One atom of each set of equivalent atoms:
Ba 0.000 0.000 0.000
Ge 0.500 0.500 0.500
O 0.000 0.500 0.500
F 0.500 0.500 0.000

***

Computed, not measured: an optimized crystal structure of BaGeOF2 at the PBE level of DFT.

Cell: 4.901 4.901 5.086 Å, 90.00 90.00 90.00°
Space group P4/mmm (No. 123)
One atom of each set of equivalent atoms:
Ba 0.000 0.000 0.000
Ge 0.500 0.500 0.500
O 0.000 0.000 0.500
F 0.000 0.500 0.000

## Properties
Energy relative to the lowest polymorph listed for this composition ... 0.894 eV per atom

***

Computed, not measured: an optimized crystal structure of BaGeOF2 at the PBE level of DFT.

Cell: 4.460 4.460 4.343 Å, 90.00 90.00 90.00°
Space group P4/mmm (No. 123)
One atom of each set of equivalent atoms:
Ba 0.000 0.000 0.000
Ge 0.500 0.500 0.500
O 0.500 0.500 0.000
F 0.000 0.500 0.500

## Properties
Energy relative to the lowest polymorph listed for this composition ... 0.000 eV per atom

***

Computed, not measured: an optimized crystal structure of BaGe2SbF at the PBE level of DFT.

Cell: 6.083 6.083 6.414 Å, 90.00 90.00 90.00°
Space group P4/mmm (No. 123)
One atom of each set of equivalent atoms:
Ba 0.000 0.000 0.000
Ge 0.000 0.500 0.000
Sb 0.000 0.000 0.500
F 0.500 0.500 0.500

***

Computed, not measured: an optimized crystal structure of Ba2TaGeF at the PBE level of DFT.

Cell: 6.434 6.434 4.963 Å, 90.00 90.00 90.00°
Space group P4/mmm (No. 123)
One atom of each set of equivalent atoms:
Ba 0.000 0.500 0.000
Ta 0.000 0.000 0.500
Ge 0.000 0.000 0.000
F 0.500 0.500 0.500

***

Computed, not measured: an optimized crystal structure of BaGeTeF2 at the PBE level of DFT.

Cell: 4.779 4.779 7.593 Å, 90.00 90.00 90.00°
Space group P4/mmm (No. 123)
One atom of each set of equivalent atoms:
Ba 0.000 0.000 0.000
Ge 0.500 0.500 0.500
Te 0.000 0.000 0.500
F 0.000 0.500 0.000

***

Computed, not measured: an optimized crystal structure of BaTiGeF2 at the PBE level of DFT.

Cell: 4.681 4.681 8.635 Å, 90.00 90.00 90.00°
Space group P4/mmm (No. 123)
One atom of each set of equivalent atoms:
Ba 0.000 0.000 0.000
Ti 0.000 0.000 0.500
Ge 0.500 0.500 0.500
F 0.000 0.500 0.000

***

Computed, not measured: an optimized crystal structure of BaTl2GeF8 at the PBE level of DFT.

Cell: 4.727 7.695 6.415 Å, 90.00 93.96 90.00°
Space group P2/m (No. 10)
One atom of each set of equivalent atoms:
Ba 0.000 0.000 0.000
Tl 0.500 0.266 0.500
Ge 0.000 0.500 0.000
F 0.119 0.323 0.828
F 0.329 0.500 0.158
F 0.481 0.000 0.240

***

ΔE_f (raw), respectively: -1.1911, -0.7255, 0.8999, -1.2983, -2.9134, -1.1678, -0.7528, -2.1864, -1.4028, -2.2971, 0.9735, -0.1495, -1.6924, -1.0620, -2.6032 eV/atom.
Total DFT energy (no corrections), respectively: -5.464, -5.738, -4.113, -3.629, -4.926, -3.378, -4.418, -5.852, -4.451, -5.345, -2.457, -4.587, -4.377, -4.697, -4.790 eV per atom.
Size of the total moment, respectively: 0.0, 0.6, 1.0, 0.0, 0.0, 0.5, 1.0, 0.0, 0.0, 0.0, 0.7, 3.5, 0.0, 2.1, 0.0 Bohr magnetons per cell.